This record from Alexandria via LeMat-Bulk describes MgV2SCl after structural relaxation. The functional is GGA-PBE.

abc: 5.3108 4.4791 5.3108
angles: 90.00 90.00 90.00
Closest atoms and distances in Å follow each position.
Positions (direct):
S 0.0000 0.5000 0.0000  2 Mg 2.24
Cl 0.5000 0.5000 0.5000  8 V 3.47, 4 S 3.76
Mg 0.0000 0.0000 0.0000  2 S 2.24
V 0.0000 0.0000 0.5000  2 Mg 2.66
V 0.5000 0.0000 0.0000  2 Mg 2.66

**Final energy**: -4.149 eV per atom
**Total moment**: 1.512 μB/atom
**Formation energy without anion corrections**: 1.01 eV/atom
**Space group**: P4/mmm
**Energy above the most stable polymorph in this dataset**: 0.000 eV per atom